[1]
MgSiTe2F after structural relaxation, computed with GGA-PBEsol.

Energy relative to the elements, uncorrected (eV/f.u.): 1.9
Density of states at the Fermi level (states/eV per atom): 0.640
E_tot (eV/atom): -2.907
SG: P4/mmm (123)
Total magnetization (μB per formula unit): 0.0

Lattice parameters (Å, degrees): 5.199 5.199 4.986 90.00 90.00 90.00
Fractional positions:
1 Mg 0.000 0.000 0.000
2 Si 0.000 0.000 0.500
3 Te 0.000 0.500 0.000
4 Te 0.500 0.000 0.000
5 F 0.500 0.500 0.500

***

[2]
MgSnF4 after structural relaxation, computed with GGA-PBEsol.

Energy relative to the elements, uncorrected (eV/f.u.): -17.2
Density of states at the Fermi level (states/eV per atom): 0.000
E_tot (eV/atom): -5.148
SG: C2 (5)
Total magnetization (μB per formula unit): 0.0

Lattice parameters (Å, degrees): 7.035 7.035 4.897 107.40 107.40 45.77
Fractional positions:
1 Mg 0.000 0.000 0.000
2 Mg 0.532 0.468 0.500
3 Sn 0.366 0.069 0.737
4 Sn 0.931 0.634 0.263
5 F 0.119 0.166 0.328
6 F 0.203 0.686 0.206
7 F 0.312 0.390 0.538
8 F 0.314 0.797 0.794
9 F 0.610 0.688 0.462
10 F 0.704 0.163 0.200
11 F 0.834 0.881 0.672
12 F 0.837 0.296 0.800

***

[3]
MgSnF6 after structural relaxation, computed with GGA-PBEsol.

Energy relative to the elements, uncorrected (eV/f.u.): -23.3
Density of states at the Fermi level (states/eV per atom): 0.000
E_tot (eV/atom): -5.109
SG: R-3 (148)
Total magnetization (μB per formula unit): 0.0

Lattice parameters (Å, degrees): 5.504 5.504 5.504 57.17 57.17 57.17
Fractional positions:
1 Mg 0.000 0.000 0.000
2 Sn 0.500 0.500 0.500
3 F 0.145 0.355 0.750
4 F 0.250 0.855 0.645
5 F 0.355 0.750 0.145
6 F 0.645 0.250 0.855
7 F 0.750 0.145 0.355
8 F 0.855 0.645 0.250